Density functional theory data (PBE) for a geometry-optimized TbPa2ReC4 structure.

Cell: 3.598 11.852 11.950 Å, 90.00 90.00 90.00°
Space group Cmcm (No. 63)
Unique sites:
Tb 0.000 0.122 0.250 [4 per cell]
Pa 0.000 0.368 0.042 [8 per cell]
Re 0.000 0.143 0.750 [4 per cell]
C 0.000 0.000 0.000 [4 per cell]
C 0.000 0.262 0.629 [8 per cell]
C 0.000 0.434 0.250 [4 per cell]

Properties
As for the formation energy: -0.150 eV per atom. The crystal system is orthorhombic.

=====

Density functional theory data (PBE) for a geometry-optimized MnReP2 structure.

Cell: 3.038 4.716 7.289 Å, 90.00 90.00 90.00°
Space group Immm (No. 71)
Unique sites:
Mn 0.000 0.000 0.000 [2 per cell]
Re 0.000 0.000 0.500 [2 per cell]
P 0.000 0.500 0.266 [4 per cell]

Properties
As for the formation energy: 0.214 eV per atom. The crystal system is orthorhombic. As for the distance to the lowest polymorph of the same formula: 477 meV/atom.

=====

Density functional theory data (PBE) for a geometry-optimized MnPb2 structure.

Cell: 7.9205 7.9205 4.1778 Å, 90.00 90.00 120.00°
Space group P-62m (No. 189)
Unique sites:
Mn 0.0000 0.0000 0.0000 [1 per cell]
Mn 0.3333 0.6667 0.5000 [2 per cell]
Pb 0.0000 0.2626 0.5000 [3 per cell]
Pb 0.0000 0.6075 0.0000 [3 per cell]

Properties
As for the formation energy: 0.377 eV per atom. The crystal system is hexagonal.

=====

Density functional theory data (PBE) for a geometry-optimized Sb2TeWSe structure.

Cell: 5.275 5.275 5.124 Å, 90.00 90.00 90.00°
Space group P4/mmm (No. 123)
Unique sites:
Sb 0.000 0.500 0.000 [2 per cell]
Te 0.000 0.000 0.500 [1 per cell]
W 0.000 0.000 0.000 [1 per cell]
Se 0.500 0.500 0.500 [1 per cell]

Properties
Its uncorrected formation energy is 275 kJ/mol of formula units. The crystal system is tetragonal. As for the distance to the lowest polymorph of the same formula: 0 meV/atom.

=====

Density functional theory data (PBE) for a geometry-optimized PmZrSn structure.

Cell: 3.958 3.958 9.883 Å, 90.00 90.00 90.00°
Space group I4mm (No. 107)
Unique sites:
Pm 0.000 0.000 0.000 [2 per cell]
Zr 0.000 0.000 0.309 [2 per cell]
Sn 0.000 0.000 0.672 [2 per cell]

Properties
As for the formation energy: -0.330 eV per atom. The crystal system is tetragonal. As for the distance to the lowest polymorph of the same formula: 240 meV/atom.

=====

Density functional theory data (PBE) for a geometry-optimized Rb4HgI2 structure.

Cell: 6.784 6.784 19.116 Å, 90.00 90.00 90.00°
Space group I4/mmm (No. 139)
Unique sites:
Rb 0.000 0.000 0.195 [4 per cell]
Rb 0.000 0.500 0.000 [4 per cell]
Hg 0.000 0.000 0.000 [2 per cell]
I 0.000 0.000 0.381 [4 per cell]

Properties
Its uncorrected formation energy is -471 kJ/mol of formula units. The crystal system is tetragonal.

=====

Density functional theory data (PBE) for a geometry-optimized CsZn6As4 structure.

Cell: 4.405 4.405 26.350 Å, 90.00 90.00 90.00°
Space group I4/mmm (No. 139)
Unique sites:
Cs 0.000 0.000 0.000 [2 per cell]
Zn 0.000 0.500 0.138 [8 per cell]
Zn 0.000 0.500 0.250 [4 per cell]
As 0.000 0.000 0.198 [4 per cell]
As 0.000 0.000 0.411 [4 per cell]

Properties
As for the formation energy: -0.204 eV per atom. The crystal system is tetragonal.

=====

Density functional theory data (PBE) for a geometry-optimized MnSiPH structure.

Cell: 8.018 2.839 4.869 Å, 90.00 124.09 90.00°
Space group Cm (No. 8)
Unique sites:
Mn 0.000 0.000 0.000 [2 per cell]
Si 0.167 0.500 0.455 [2 per cell]
P 0.206 0.500 0.972 [2 per cell]
H 0.405 0.500 0.597 [2 per cell]

Properties
The crystal system is monoclinic. As for the distance to the lowest polymorph of the same formula: 49 meV/atom.

=====

Across the entries above, total moment takes the values 0.0; 1.7; 3.8; 0.0; 0.0; 1.3; 0.0; 0.0 μB/f.u., respectively.